A relaxed Pa4Fe3O12 crystal. Source: Alexandria, functional GGA+U.

Results
Final energy (eV/atom): -8.8390
Total magnetic moment (μB/cell): 19.97
Theoretical density (g cm⁻³): 7.5

Structure (CIF):
```
data_Pa4Fe3O12
_chemical_formula_sum 'Pa8 Fe6 O24'
_cell_length_a 8.288
_cell_length_b 8.288
_cell_length_c 8.288
_cell_angle_alpha 90.00
_cell_angle_beta 90.00
_cell_angle_gamma 90.00
_symmetry_space_group_name_H-M 'I m -3'
_symmetry_Int_Tables_number 204
_symmetry_space_group_name_Hall '-I 2 2 3'
loop_
_atom_site_label
_atom_site_fract_x
_atom_site_fract_y
_atom_site_fract_z
Pa1 0.250 0.250 0.250
Fe1 0.000 0.000 0.500
O1 0.000 0.179 0.321
```